A.
This record from Alexandria via LeMat-Bulk describes crystalline Ac3Ag2Pd7 at its relaxed geometry. The functional is GGA-PBE.

```
12
Lattice="4.224 0.000 0.000 0.000 4.401 -0.001 0.000 -2.188 14.433" Properties=species:S:1:pos:R:3 pbc="T T T"
Pd 2.112 0.004 2.164
Pd 2.112 0.009 7.955
Pd 0.000 0.004 12.305
Pd 2.112 2.208 12.268
Pd 0.000 2.209 2.127
Pd 0.000 0.000 0.000
Pd 2.112 2.204 6.478
Ac 0.000 0.004 5.211
Ac 2.112 2.200 0.000
Ac 0.000 2.208 9.222
Ag 2.112 0.007 10.615
Ag 2.112 2.206 3.818
```

B.
This record from Alexandria via LeMat-Bulk describes crystalline Ac3Ag2Pd7 at its relaxed geometry. The functional is GGA-PBE.

```
12
Lattice="5.393 0.000 1.688 2.433 4.814 1.688 -0.071 -0.044 9.687" Properties=species:S:1:pos:R:3 pbc="T T T"
Pd 3.303 0.358 8.368
Pd 5.945 1.984 4.695
Pd 4.530 2.786 9.219
Pd 3.878 2.385 6.531
Pd 4.452 4.412 4.695
Pd 1.810 2.786 8.368
Pd 3.225 1.984 3.844
Ag 2.539 1.562 10.807
Ag 5.216 3.208 2.255
Ac 6.716 4.131 6.922
Ac 1.039 0.639 6.141
Ac 0.000 0.000 0.000
```

Most stable of them? B.

A.
This record from Alexandria via LeMat-Bulk describes crystalline Ac3AgPd2 at its relaxed geometry. The functional is GGA-PBE.

```
12
Lattice="-2.921 -6.392 4.166 -0.697 -7.308 -3.586 4.935 -6.148 2.143" Properties=species:S:1:pos:R:3 pbc="T T T"
Ac 1.596 -8.566 -1.528
Ac -2.289 -8.396 1.586
Ac 3.606 -11.452 1.137
Ac -1.023 -12.000 -0.622
Ac 2.339 -7.848 3.345
Ac -0.279 -11.282 4.251
Pd 0.192 -2.893 0.397
Pd 0.466 -7.031 0.965
Pd 0.850 -12.817 1.758
Pd 1.125 -16.955 2.326
Ag 0.000 0.000 0.000
Ag 0.658 -9.924 1.361
```

B.
This record from Alexandria via LeMat-Bulk describes crystalline Ac3AgPd2 at its relaxed geometry. The functional is GGA-PBE.

```
6
Lattice="-1.532 -0.113 -3.909 -3.725 -2.348 1.528 -3.873 8.441 3.530" Properties=species:S:1:pos:R:3 pbc="T T T"
Pd -6.167 5.166 0.012
Pd -2.962 0.814 1.138
Ag 0.000 0.000 0.000
Ac -2.629 -1.230 -1.191
Ac -2.244 2.615 -1.452
Ac -3.161 5.714 1.074
```

Most stable of them? A.

A.
This record from Alexandria via LeMat-Bulk describes crystalline AcPmAgPd at its relaxed geometry. The functional is GGA-PBE.

```
4
Lattice="-1.205 5.171 -0.625 -2.928 2.527 3.691 2.266 3.673 3.155" Properties=species:S:1:pos:R:3 pbc="T T T"
Ag -0.467 2.843 1.555
Pm 0.000 0.000 0.000
Ac -0.934 5.685 3.110
Pd -1.401 8.528 4.666
```

B.
This record from Alexandria via LeMat-Bulk describes crystalline AcPmAgPd at its relaxed geometry. The functional is GGA-PBE.

```
4
Lattice="-3.098 -0.569 2.550 2.987 -2.333 3.108 2.730 5.158 1.248" Properties=species:S:1:pos:R:3 pbc="T T T"
Ac 0.790 2.040 4.636
Pm 0.320 1.322 0.685
Pd 0.140 -0.646 3.246
Ag 1.001 4.129 2.138
```

Most stable of them? B.